No. 1
First-principles (PBE) data for a relaxed VGe2W crystal, as listed in the Alexandria database. Values from VASP.

Properties
Energy of formation   0.33 eV per atom
Energy   -7.495 eV per atom

```
&SYSTEM
  ibrav = 0, nat = 12, ntyp = 3
/
ATOMIC_SPECIES
V 50.94 V.upf
Ge 72.64 Ge.upf
W 183.84 W.upf
CELL_PARAMETERS angstrom
2.8203 0.0000 0.0000
-1.4101 2.4424 0.0000
0.0000 0.0000 28.3140
ATOMIC_POSITIONS crystal
V 0.0000 0.0000 0.0000
V 0.3333 0.6667 0.6667
V 0.6667 0.3333 0.3333
Ge 0.0000 0.0000 0.4066
Ge 0.0000 0.0000 0.5934
Ge 0.3333 0.6667 0.0733
Ge 0.3333 0.6667 0.2600
Ge 0.6667 0.3333 0.7400
Ge 0.6667 0.3333 0.9267
W 0.0000 0.0000 0.5000
W 0.3333 0.6667 0.1667
W 0.6667 0.3333 0.8333
```

---

No. 2
First-principles (PBE) data for a relaxed Ac2Cu2Sn crystal, as listed in the Alexandria database. Values from VASP.

Properties
Energy of formation   -0.39 eV per atom
Relative energy among the computed polymorphs   0.0 kJ/mol of atoms
Energy   -4.469 eV per atom

```
&SYSTEM
  ibrav = 0, nat = 10, ntyp = 3
/
ATOMIC_SPECIES
Ac 227.00 Ac.upf
Cu 63.55 Cu.upf
Sn 118.71 Sn.upf
CELL_PARAMETERS angstrom
4.5273 0.0000 0.0000
0.0000 14.5673 0.0000
0.0000 0.0000 4.0863
ATOMIC_POSITIONS crystal
Ac 0.0000 0.1286 0.0000
Ac 0.0000 0.8714 0.0000
Ac 0.5000 0.3714 0.0000
Ac 0.5000 0.6286 0.0000
Cu 0.0000 0.2955 0.5000
Cu 0.0000 0.7045 0.5000
Cu 0.5000 0.2045 0.5000
Cu 0.5000 0.7955 0.5000
Sn 0.0000 0.5000 0.5000
Sn 0.5000 0.0000 0.5000
```

---

No. 3
First-principles (PBE) data for a relaxed In2RePt crystal, as listed in the Alexandria database. Values from VASP.

Properties
Energy of formation   0.30 eV per atom
Relative energy among the computed polymorphs   13.7 kJ/mol of atoms
Energy   -5.693 eV per atom

```
&SYSTEM
  ibrav = 0, nat = 8, ntyp = 3
/
ATOMIC_SPECIES
In 114.82 In.upf
Re 186.21 Re.upf
Pt 195.08 Pt.upf
CELL_PARAMETERS angstrom
9.2610 0.0000 0.0000
0.0000 2.9140 0.0000
-1.0537 0.0000 5.3471
ATOMIC_POSITIONS crystal
In 0.2489 0.0000 0.2505
In 0.2511 0.5000 0.7495
In 0.7489 0.5000 0.2505
In 0.7511 0.0000 0.7495
Re 0.0000 0.0000 0.5000
Re 0.5000 0.5000 0.5000
Pt 0.0000 0.5000 0.0000
Pt 0.5000 0.0000 0.0000
```

---

No. 4
First-principles (PBE) data for a relaxed Ce5Ge2Sb crystal, as listed in the Alexandria database. Values from VASP.

Properties
E_form (uncorrected)   -0.674 eV/atom
Relative energy among the computed polymorphs   0.0 kJ/mol of atoms
Energy   -6.053 eV per atom

```
&SYSTEM
  ibrav = 0, nat = 16, ntyp = 3
/
ATOMIC_SPECIES
Ce 140.12 Ce.upf
Ge 72.64 Ge.upf
Sb 121.76 Sb.upf
CELL_PARAMETERS angstrom
-3.9914 3.9914 6.8781
3.9914 -3.9914 6.8781
3.9914 3.9914 -6.8781
ATOMIC_POSITIONS crystal
Ce 0.0000 0.0000 0.0000
Ce 0.0124 0.5124 0.8125
Ce 0.1999 0.0124 0.5000
Ce 0.3001 0.8001 0.8125
Ce 0.4876 0.3001 0.5000
Ce 0.5000 0.5000 0.0000
Ce 0.5124 0.6999 0.5000
Ce 0.6999 0.1999 0.1875
Ce 0.8001 0.9876 0.5000
Ce 0.9876 0.4876 0.1875
Ge 0.1439 0.3561 0.5000
Ge 0.3561 0.8561 0.2121
Ge 0.6439 0.1439 0.7879
Ge 0.8561 0.6439 0.5000
Sb 0.2500 0.2500 0.0000
Sb 0.7500 0.7500 0.0000
```

---

Computed V (Å³ per atom) in order:
16.3 26.9 18.0 27.4